1.
# BiPtBr2

A geometry-optimized BiPtBr2 structure (PBEsol, Alexandria).

Lattice parameters (Å, degrees): 5.004 5.004 5.004 60.00 60.00 60.00
Element x y z (fractional)
Bi 0.500 0.500 0.500
Br 0.250 0.250 0.250
Br 0.750 0.750 0.750
Pt 0.000 0.000 0.000

total magnetization = 0.000 μB/cell
SG = No. 225
formation energy (no corrections) = 0.37 eV/atom

2.
# BiPtSeBr2

A geometry-optimized BiPtSeBr2 structure (PBEsol, Alexandria).

Lattice parameters (Å, degrees): 5.058 4.961 4.961 90.00 90.00 90.00
Element x y z (fractional)
Bi 0.500 0.500 0.500
Br 0.000 0.000 0.500
Br 0.000 0.500 0.000
Se 0.500 0.000 0.000
Pt 0.000 0.000 0.000

total magnetization = 0.001 μB/cell
SG = No. 123
formation energy (no corrections) = 0.08 eV/atom

3.
# RbBi2Br7

A geometry-optimized RbBi2Br7 structure (PBEsol, Alexandria).

Lattice parameters (Å, degrees): 7.503 9.522 10.468 76.32 84.26 77.26
Element x y z (fractional)
Br 0.368 0.376 0.929
Br 0.140 0.123 0.574
Br 0.965 0.794 0.798
Br 0.891 0.342 0.823
Br 0.035 0.206 0.202
Br 0.720 0.015 0.052
Br 0.632 0.624 0.071
Br 0.504 0.231 0.328
Br 0.109 0.658 0.177
Br 0.280 0.985 0.948
Br 0.860 0.877 0.426
Br 0.754 0.478 0.452
Br 0.246 0.522 0.548
Br 0.496 0.769 0.672
Rb 0.620 0.124 0.699
Rb 0.380 0.876 0.301
Bi 0.871 0.638 0.625
Bi 0.129 0.362 0.375
Bi 0.309 0.701 0.937
Bi 0.691 0.299 0.063

total magnetization = 0.001 μB/cell
SG = No. 2
formation energy (no corrections) = -0.93 eV/atom

4.
# Rb3BiBr6

A geometry-optimized Rb3BiBr6 structure (PBEsol, Alexandria).

Lattice parameters (Å, degrees): 8.470 8.470 8.470 60.00 60.00 60.00
Element x y z (fractional)
Br 0.764 0.236 0.764
Br 0.764 0.764 0.236
Br 0.764 0.236 0.236
Br 0.236 0.764 0.764
Br 0.236 0.764 0.236
Br 0.236 0.236 0.764
Rb 0.500 0.500 0.500
Rb 0.250 0.250 0.250
Rb 0.750 0.750 0.750
Bi 0.000 0.000 0.000

offset from the most stable computed form = 92 meV per atom
total magnetization = 0.000 μB/cell
SG = No. 225
formation energy (no corrections) = -1.28 eV/atom

5.
# Rb3BiBr6

A geometry-optimized Rb3BiBr6 structure (PBEsol, Alexandria).

Lattice parameters (Å, degrees): 8.444 13.143 26.756 90.00 90.00 90.00
Element x y z (fractional)
Rb 0.420 0.681 0.043
Rb 0.076 0.488 0.158
Rb 0.924 0.512 0.842
Rb 0.576 0.012 0.842
Rb 0.072 0.159 0.840
Rb 0.920 0.819 0.957
Rb 0.424 0.988 0.158
Rb 0.424 0.988 0.342
Rb 0.428 0.659 0.840
Rb 0.576 0.012 0.658
Rb 0.076 0.488 0.342
Rb 0.072 0.159 0.660
Rb 0.420 0.681 0.457
Rb 0.080 0.181 0.457
Rb 0.920 0.819 0.543
Rb 0.580 0.319 0.957
Rb 0.428 0.659 0.660
Rb 0.928 0.841 0.160
Rb 0.924 0.512 0.658
Rb 0.572 0.341 0.160
Rb 0.080 0.181 0.043
Rb 0.580 0.319 0.543
Rb 0.928 0.841 0.340
Rb 0.572 0.341 0.340
Bi 0.000 0.500 0.000
Bi 0.500 0.000 0.000
Bi 0.000 0.500 0.500
Bi 0.003 0.835 0.750
Bi 0.997 0.165 0.250
Bi 0.503 0.665 0.250
Bi 0.500 0.000 0.500
Bi 0.497 0.335 0.750
Br 0.213 0.930 0.047
Br 0.287 0.430 0.047
Br 0.211 0.223 0.171
Br 0.326 0.122 0.932
Br 0.141 0.967 0.250
Br 0.287 0.430 0.453
Br 0.995 0.330 0.564
Br 0.711 0.277 0.829
Br 0.213 0.930 0.453
Br 0.211 0.223 0.329
Br 0.674 0.878 0.432
Br 0.505 0.830 0.936
Br 0.174 0.622 0.568
Br 0.212 0.893 0.828
Br 0.995 0.330 0.936
Br 0.826 0.378 0.068
Br 0.787 0.070 0.953
Br 0.789 0.777 0.671
Br 0.361 0.135 0.750
Br 0.787 0.070 0.547
Br 0.495 0.170 0.436
Br 0.788 0.107 0.172
Br 0.289 0.723 0.171
Br 0.861 0.365 0.250
Br 0.288 0.393 0.672
Br 0.289 0.723 0.329
Br 0.674 0.878 0.068
Br 0.789 0.777 0.829
Br 0.139 0.635 0.750
Br 0.505 0.830 0.564
Br 0.326 0.122 0.568
Br 0.495 0.170 0.064
Br 0.639 0.865 0.250
Br 0.641 0.533 0.750
Br 0.826 0.378 0.432
Br 0.713 0.570 0.547
Br 0.712 0.607 0.328
Br 0.359 0.467 0.250
Br 0.288 0.393 0.828
Br 0.712 0.607 0.172
Br 0.711 0.277 0.671
Br 0.005 0.670 0.064
Br 0.212 0.893 0.672
Br 0.713 0.570 0.953
Br 0.174 0.622 0.932
Br 0.788 0.107 0.328
Br 0.859 0.033 0.750
Br 0.005 0.670 0.436

offset from the most stable computed form = 0 meV per atom
total magnetization = 0.001 μB/cell
SG = No. 62
formation energy (no corrections) = -1.37 eV/atom

6.
# Rb2TlBiBr6

A geometry-optimized Rb2TlBiBr6 structure (PBEsol, Alexandria).

Lattice parameters (Å, degrees): 8.303 8.303 8.303 60.00 60.00 60.00
Element x y z (fractional)
Br 0.759 0.241 0.759
Br 0.241 0.759 0.241
Br 0.759 0.241 0.241
Br 0.241 0.759 0.759
Br 0.241 0.241 0.759
Br 0.759 0.759 0.241
Rb 0.250 0.250 0.250
Rb 0.750 0.750 0.750
Tl 0.500 0.500 0.500
Bi 0.000 0.000 0.000

total magnetization = 0.000 μB/cell
SG = No. 225
formation energy (no corrections) = -1.12 eV/atom

7.
# Re3BiBr

A geometry-optimized Re3BiBr structure (PBEsol, Alexandria).

Lattice parameters (Å, degrees): 5.033 5.033 5.033 90.00 90.00 90.00
Last column: magnetic moment on the atom in μB.
Element x y z (fractional)
Bi 0.000 0.000 0.000  -0.03
Br 0.500 0.500 0.500  0.20
Re 0.000 0.500 0.000  1.35
Re 0.000 0.000 0.500  1.35
Re 0.500 0.000 0.000  1.35

total magnetization = 4.906 μB/cell
SG = No. 221
formation energy (no corrections) = 3.52 eV/atom

8.
# BiRhBr2

A geometry-optimized BiRhBr2 structure (PBEsol, Alexandria).

Lattice parameters (Å, degrees): 4.931 4.931 4.931 60.00 60.00 60.00
Element x y z (fractional)
Rh 0.000 0.000 0.000
Br 0.750 0.750 0.750
Br 0.250 0.250 0.250
Bi 0.500 0.500 0.500

total magnetization = 0.004 μB/cell
SG = No. 225
formation energy (no corrections) = 0.38 eV/atom

9.
# BiRh2Br

A geometry-optimized BiRh2Br structure (PBEsol, Alexandria).

Lattice parameters (Å, degrees): 4.651 4.651 4.651 60.00 60.00 60.00
Last column: magnetic moment on the atom in μB.
Element x y z (fractional)
Br 0.000 0.000 0.000  0.01
Rh 0.750 0.750 0.750  0.08
Rh 0.250 0.250 0.250  0.08
Bi 0.500 0.500 0.500  -0.01

total magnetization = 0.175 μB/cell
SG = No. 225
formation energy (no corrections) = 0.31 eV/atom

10.
# Bi12Rh3Br2

A geometry-optimized Bi12Rh3Br2 structure (PBEsol, Alexandria).

Lattice parameters (Å, degrees): 7.146 9.083 16.312 85.06 77.35 66.84
Element x y z (fractional)
Rh 0.375 0.250 0.750
Rh 0.875 0.750 0.750
Rh 0.375 0.250 0.250
Rh 0.250 0.500 0.500
Rh 0.375 0.750 0.250
Rh 0.500 0.000 0.000
Bi 0.112 0.077 0.277
Bi 0.897 0.894 0.894
Bi 0.053 0.755 0.394
Bi 0.638 0.423 0.223
Bi 0.284 0.577 0.777
Bi 0.811 0.077 0.723
Bi 0.611 0.923 0.277
Bi 0.209 0.106 0.894
Bi 0.853 0.606 0.606
Bi 0.685 0.106 0.106
Bi 0.697 0.745 0.106
Bi 0.939 0.423 0.777
Bi 0.065 0.394 0.394
Bi 0.541 0.606 0.394
Bi 0.202 0.245 0.606
Bi 0.541 0.394 0.606
Bi 0.558 0.745 0.894
Bi 0.192 0.755 0.606
Bi 0.209 0.894 0.106
Bi 0.139 0.577 0.223
Bi 0.548 0.255 0.894
Bi 0.198 0.255 0.106
Bi 0.466 0.923 0.723
Bi 0.552 0.245 0.394
Br 0.542 0.915 0.500
Br 0.208 0.585 0.000
Br 0.958 0.085 0.500
Br 0.792 0.415 0.000

total magnetization = 0.000 μB/cell
SG = No. 70
formation energy (no corrections) = -0.26 eV/atom

11.
# BiRuBr3

A geometry-optimized BiRuBr3 structure (PBEsol, Alexandria).

Lattice parameters (Å, degrees): 4.944 4.944 4.944 90.00 90.00 90.00
Element x y z (fractional)
Br 0.500 0.000 0.000
Br 0.000 0.500 0.000
Br 0.000 0.000 0.500
Ru 0.000 0.000 0.000
Bi 0.500 0.500 0.500

total magnetization = 0.002 μB/cell
SG = No. 221
formation energy (no corrections) = 0.22 eV/atom

12.
# BiSBr3

A geometry-optimized BiSBr3 structure (PBEsol, Alexandria).

Lattice parameters (Å, degrees): 5.082 5.082 5.082 90.00 90.00 90.00
Element x y z (fractional)
Br 0.000 0.500 0.000
Br 0.500 0.000 0.000
Br 0.000 0.000 0.500
S 0.000 0.000 0.000
Bi 0.500 0.500 0.500

total magnetization = 0.000 μB/cell
SG = No. 221
formation energy (no corrections) = 0.24 eV/atom

13.
# BiSbTe2Br

A geometry-optimized BiSbTe2Br structure (PBEsol, Alexandria).

Lattice parameters (Å, degrees): 5.748 5.748 5.936 90.00 90.00 90.00
Element x y z (fractional)
Bi 0.000 0.000 0.000
Te 0.500 0.000 0.000
Te 0.000 0.500 0.000
Sb 0.000 0.000 0.500
Br 0.500 0.500 0.500

total magnetization = 0.001 μB/cell
SG = No. 123
formation energy (no corrections) = 0.73 eV/atom

14.
# ScBiBr2

A geometry-optimized ScBiBr2 structure (PBEsol, Alexandria).

Lattice parameters (Å, degrees): 6.001 6.946 6.946 79.25 64.41 64.41
Element x y z (fractional)
Sc 0.250 0.500 0.500
Sc 0.500 0.000 0.000
Br 0.236 0.889 0.389
Br 0.375 0.389 0.111
Br 0.875 0.611 0.889
Br 0.514 0.111 0.611
Bi 0.000 0.000 0.000
Bi 0.750 0.500 0.500

total magnetization = 0.000 μB/cell
SG = No. 122
formation energy (no corrections) = -0.69 eV/atom

15.
# Bi3Se4Br

A geometry-optimized Bi3Se4Br structure (PBEsol, Alexandria).

Lattice parameters (Å, degrees): 4.056 10.411 11.951 114.66 90.00 101.23
Element x y z (fractional)
Se 0.309 0.617 0.976
Se 0.418 0.836 0.509
Se 0.925 0.850 0.274
Se 0.255 0.511 0.645
Se 0.745 0.489 0.355
Se 0.075 0.150 0.726
Se 0.691 0.383 0.024
Se 0.582 0.164 0.491
Bi 0.089 0.179 0.966
Bi 0.852 0.704 0.589
Bi 0.676 0.352 0.742
Bi 0.911 0.821 0.034
Bi 0.324 0.648 0.258
Bi 0.148 0.296 0.411
Br 0.544 0.088 0.165
Br 0.456 0.912 0.835

total magnetization = 0.000 μB/cell
SG = No. 12
formation energy (no corrections) = -0.43 eV/atom

16.
# TcBiSeBr2

A geometry-optimized TcBiSeBr2 structure (PBEsol, Alexandria).

Lattice parameters (Å, degrees): 4.642 5.386 5.386 90.00 90.00 90.00
Last column: magnetic moment on the atom in μB.
Element x y z (fractional)
Br 0.000 0.500 0.000  -0.02
Br 0.000 0.000 0.500  -0.02
Bi 0.500 0.500 0.500  -0.36
Tc 0.500 0.000 0.000  1.74
Se 0.000 0.000 0.000  -0.06

total magnetization = 1.327 μB/cell
SG = No. 123
formation energy (no corrections) = 0.88 eV/atom

17.
# TcBiSe2Br

A geometry-optimized TcBiSe2Br structure (PBEsol, Alexandria).

Lattice parameters (Å, degrees): 5.396 5.479 5.479 90.00 90.00 90.00
Last column: magnetic moment on the atom in μB.
Element x y z (fractional)
Se 0.000 0.000 0.500  0.07
Se 0.000 0.500 0.000  0.07
Tc 0.500 0.500 0.500  4.22
Br 0.500 0.000 0.000  0.03
Bi 0.000 0.000 0.000  0.00

total magnetization = 5.051 μB/cell
SG = No. 123
formation energy (no corrections) = 1.10 eV/atom

18.
# SiBi2Br

A geometry-optimized SiBi2Br structure (PBEsol, Alexandria).

Lattice parameters (Å, degrees): 8.460 6.747 8.460 51.18 90.00 128.82
Element x y z (fractional)
Bi 0.875 0.250 0.573
Bi 0.573 0.750 0.375
Bi 0.177 0.750 0.875
Bi 0.375 0.250 0.177
Br 0.750 0.500 0.750
Br 0.000 0.000 0.000
Si 0.500 0.000 0.500
Si 0.250 0.500 0.250

total magnetization = 0.000 μB/cell
SG = No. 122
formation energy (no corrections) = 0.15 eV/atom

19.
# Zr2SnBiBr

A geometry-optimized Zr2SnBiBr structure (PBEsol, Alexandria).

Lattice parameters (Å, degrees): 4.971 4.971 5.491 90.00 90.00 90.00
Element x y z (fractional)
Sn 0.000 0.000 0.500
Bi 0.500 0.500 0.500
Zr 0.000 0.500 0.000
Zr 0.500 0.000 0.000
Br 0.000 0.000 0.000

total magnetization = 0.000 μB/cell
SG = No. 123
formation energy (no corrections) = 0.45 eV/atom

20.
# SrBiBr2

A geometry-optimized SrBiBr2 structure (PBEsol, Alexandria).

Lattice parameters (Å, degrees): 6.999 6.999 6.999 105.30 105.30 118.18
Element x y z (fractional)
Bi 0.250 0.750 0.500
Bi 0.000 0.000 0.000
Br 0.861 0.875 0.486
Br 0.125 0.611 0.986
Br 0.625 0.139 0.014
Br 0.389 0.375 0.514
Sr 0.500 0.500 0.000
Sr 0.750 0.250 0.500

total magnetization = 0.001 μB/cell
SG = No. 122
formation energy (no corrections) = -0.90 eV/atom